Record 1
DFT (PBE-GGA) results for crystalline MoRu2Pb at its relaxed geometry.

Cell lengths 2.990, 2.990, 7.550 Å; angles 90.00, 90.00, 90.00 degrees
Sites, in units of the cell vectors:
Mo: 0.000 0.000 0.468
Pb: 0.500 0.500 0.761
Ru: 0.000 0.000 0.020
Ru: 0.500 0.500 0.251

Computed properties:
Calculated formation energy (meV per atom): 534
SG: P4mm
N(E_F) (states/eV/f.u.): 5.39

Record 2
DFT (PBE-GGA) results for crystalline MoRu2Pb at its relaxed geometry.

Cell lengths 4.822, 4.822, 5.069 Å; angles 79.03, 79.03, 36.12 degrees
Sites, in units of the cell vectors:
Mo: 0.750 0.750 0.750
Pb: 0.250 0.250 0.250
Ru: 0.012 0.012 0.958
Ru: 0.488 0.488 0.542

Computed properties:
Calculated formation energy (meV per atom): 468
SG: C2/m
N(E_F) (states/eV/f.u.): 3.30

Record 3
DFT (PBE-GGA) results for crystalline MoRuPb2 at its relaxed geometry.

Cell lengths 4.710, 4.710, 5.763 Å; angles 78.65, 78.65, 39.39 degrees
Sites, in units of the cell vectors:
Mo: 0.750 0.750 0.750
Pb: 0.996 0.996 0.006
Pb: 0.504 0.504 0.494
Ru: 0.250 0.250 0.250

Computed properties:
Calculated formation energy (meV per atom): 753
SG: C2/m
N(E_F) (states/eV/f.u.): 4.11
ΔE to the lowest computed polymorph (kJ/mol of atoms): 47.8

Record 4
DFT (PBE-GGA) results for crystalline Mo2RuPb at its relaxed geometry.

Cell lengths 4.968, 4.968, 4.968 Å; angles 130.97, 130.23, 72.45 degrees
Sites, in units of the cell vectors:
Mo: 0.028 0.028 0.000
Mo: 0.240 0.740 0.500
Pb: 0.491 0.491 0.000
Ru: 0.742 0.242 0.500

Computed properties:
Calculated formation energy (meV per atom): 527
SG: Imm2
N(E_F) (states/eV/f.u.): 3.93

Record 5
DFT (PBE-GGA) results for crystalline MoRu2PbW at its relaxed geometry.

Cell lengths 4.765, 4.976, 4.765 Å; angles 90.00, 90.00, 90.00 degrees
Sites, in units of the cell vectors:
Pb: 0.000 0.000 0.000
Ru: 0.000 0.000 0.500
Ru: 0.500 0.000 0.000
Mo: 0.500 0.500 0.500
W: 0.000 0.500 0.000

Computed properties:
Calculated formation energy (meV per atom): 2870
SG: P4/mmm
N(E_F) (states/eV/f.u.): 7.48
ΔE to the lowest computed polymorph (kJ/mol of atoms): 6.2

Record 6
DFT (PBE-GGA) results for crystalline MoRu2PbW at its relaxed geometry.

Cell lengths 4.753, 4.922, 4.753 Å; angles 90.00, 90.00, 90.00 degrees
Sites, in units of the cell vectors:
Pb: 0.000 0.000 0.000
Ru: 0.000 0.000 0.500
Ru: 0.500 0.000 0.000
Mo: 0.000 0.500 0.000
W: 0.500 0.500 0.500

Computed properties:
Calculated formation energy (meV per atom): 2806
SG: P4/mmm
N(E_F) (states/eV/f.u.): 5.83
ΔE to the lowest computed polymorph (kJ/mol of atoms): 0.0

Record 7
DFT (PBE-GGA) results for crystalline Mo2PbS at its relaxed geometry.

Cell lengths 4.587, 4.587, 4.587 Å; angles 60.00, 60.00, 60.00 degrees
Sites, in units of the cell vectors:
Pb: 0.500 0.500 0.500
Mo: 0.250 0.250 0.250
Mo: 0.750 0.750 0.750
S: 0.000 0.000 0.000

Computed properties:
Energy relative to the elements, uncorrected (eV per formula unit): 2.80
SG: Fm-3m
N(E_F) (states/eV/f.u.): 4.00
ΔE to the lowest computed polymorph (kJ/mol of atoms): 12.8

Record 8
DFT (PBE-GGA) results for crystalline MoPb3S at its relaxed geometry.

Cell lengths 5.379, 5.379, 5.379 Å; angles 90.00, 90.00, 90.00 degrees
Last column: magnetic moment on the atom in μB.
Sites, in units of the cell vectors:
Pb: 0.000 0.500 0.000  -0.02
Pb: 0.000 0.000 0.500  0.06
Pb: 0.500 0.000 0.000  -0.04
Mo: 0.000 0.000 0.000  1.10
S: 0.500 0.500 0.500  0.37

Computed properties:
Energy relative to the elements, uncorrected (eV per formula unit): 2.89
SG: Pm-3m
N(E_F) (states/eV/f.u.): 5.33
ΔE to the lowest computed polymorph (kJ/mol of atoms): 0.0

Record 9
DFT (PBE-GGA) results for crystalline MoPb3S at its relaxed geometry.

Cell lengths 5.461, 5.461, 5.461 Å; angles 90.00, 90.00, 90.00 degrees
Last column: magnetic moment on the atom in μB.
Sites, in units of the cell vectors:
Pb: 0.000 0.500 0.000  -0.04
Pb: 0.000 0.000 0.500  0.00
Pb: 0.500 0.000 0.000  -0.03
Mo: 0.500 0.500 0.500  3.61
S: 0.000 0.000 0.000  0.02

Computed properties:
Energy relative to the elements, uncorrected (eV per formula unit): 4.68
SG: Pm-3m
N(E_F) (states/eV/f.u.): 3.11
ΔE to the lowest computed polymorph (kJ/mol of atoms): 34.5

Record 10
DFT (PBE-GGA) results for crystalline Mo2PbS at its relaxed geometry.

Cell lengths 4.330, 4.330, 9.225 Å; angles 76.43, 76.43, 90.00 degrees
Sites, in units of the cell vectors:
Pb: 0.000 0.000 0.000
Pb: 0.750 0.250 0.500
Mo: 0.526 0.125 0.250
Mo: 0.224 0.625 0.250
Mo: 0.375 0.474 0.750
Mo: 0.875 0.776 0.750
S: 0.500 0.500 0.000
S: 0.250 0.750 0.500

Computed properties:
Energy relative to the elements, uncorrected (eV per formula unit): 2.27
SG: I-42d
N(E_F) (states/eV/f.u.): 3.99
ΔE to the lowest computed polymorph (kJ/mol of atoms): 0.0

Record 11
DFT (PBE-GGA) results for crystalline Mo6PbS8 at its relaxed geometry.

Cell lengths 6.605, 6.607, 6.610 Å; angles 90.66, 89.36, 90.76 degrees
Sites, in units of the cell vectors:
Mo: 0.562 0.584 0.228
Mo: 0.438 0.416 0.772
Mo: 0.228 0.438 0.416
Mo: 0.772 0.562 0.584
Mo: 0.417 0.772 0.562
Mo: 0.583 0.228 0.438
Pb: 0.000 0.000 0.000
S: 0.383 0.261 0.126
S: 0.617 0.739 0.874
S: 0.245 0.756 0.244
S: 0.755 0.244 0.756
S: 0.739 0.874 0.383
S: 0.261 0.126 0.617
S: 0.126 0.617 0.739
S: 0.874 0.383 0.261

Computed properties:
Energy relative to the elements, uncorrected (eV per formula unit): -10.06
SG: P-1
N(E_F) (states/eV/f.u.): 11.82

Record 12
DFT (PBE-GGA) results for crystalline MoPbS2 at its relaxed geometry.

Cell lengths 8.832, 8.832, 8.832 Å; angles 23.10, 23.10, 23.10 degrees
Sites, in units of the cell vectors:
Pb: 0.500 0.500 0.500
Mo: 0.000 0.000 0.000
S: 0.913 0.913 0.913
S: 0.087 0.087 0.087

Computed properties:
Energy relative to the elements, uncorrected (eV per formula unit): 1.68
SG: R-3m
N(E_F) (states/eV/f.u.): 2.16

Q: What is the formula in the sixth record?
A: MoRu2PbW

Q: Look up the N(E_F) of the twelfth one.
A: 2.16 states/eV/f.u.

Q: Which of these has the highest N(E_F)?
A: Mo6PbS8

Q: Number 11 is which compound?
A: Mo6PbS8